DFT (GGA-PBE) results for crystalline Rb2BiBr at its relaxed geometry.

Values from the calculation:
Its raw formation energy is -618 meV per atom. The value obtained for the distance to the lowest polymorph of the same formula is 284.6 meV per atom. The final energy comes out at -10.0 eV/f.u.

Unit cell a=9.5396 b=9.5396 c=8.2368 alpha=54.61 beta=54.61 gamma=90.00
Last column: nearest neighbours and their distance in Å.
Fractional coordinates of all 8 atoms:
Bi 0.7500 0.2500 0.5000  4 Rb 3.85
Bi 0.0000 0.0000 0.0000  4 Rb 3.85
Br 0.2500 0.7500 0.5000  4 Rb 3.32
Br 0.5000 0.5000 0.0000  4 Rb 3.32
Rb 0.5835 0.1250 0.2500  2 Br 3.32
Rb 0.3750 0.4165 0.7500  2 Br 3.32
Rb 0.8750 0.8335 0.7500  2 Br 3.32
Rb 0.1665 0.6250 0.2500  2 Br 3.32

DFT (GGA-PBE) results for crystalline Rb5BiBr8 at its relaxed geometry.

Values from the calculation:
Its raw formation energy is -1416 meV per atom. The final energy comes out at -41.9 eV/f.u.

Unit cell a=8.7866 b=8.7866 c=8.7866 alpha=109.76 beta=109.76 gamma=108.89
Last column: nearest neighbours and their distance in Å.
Fractional coordinates of all 14 atoms:
Br 0.8091 0.4071 0.2646  1 Bi 3.34, 5 Rb 3.38-3.63, 2 Br 3.61-3.65
Br 0.5898 0.8761 0.8445  1 Bi 2.96
Br 0.1239 0.9684 0.7137  1 Bi 2.96
Br 0.0316 0.7453 0.1555  1 Bi 2.96
Br 0.5929 0.8575 0.4020  1 Bi 3.34, 5 Rb 3.38-3.63, 2 Br 3.61-3.65
Br 0.2547 0.4102 0.2863  1 Bi 2.96
Br 0.1425 0.5445 0.7354  1 Bi 3.34, 5 Rb 3.38-3.63, 2 Br 3.61-3.65
Br 0.4555 0.1909 0.5980  1 Bi 3.34, 5 Rb 3.38-3.63, 2 Br 3.61-3.65
Rb 0.7366 0.6052 0.6167  7 Br 3.38-3.63
Rb 0.3948 0.0115 0.1314  7 Br 3.38-3.63
Rb 0.8801 0.2634 0.8686  7 Br 3.38-3.63
Rb 0.9885 0.1199 0.3833  7 Br 3.38-3.63
Rb 0.5000 0.5000 0.0000  4 Br 3.45
Bi 0.2500 0.7500 0.5000  4 Br 2.96

DFT (GGA-PBE) results for crystalline RbBi2Br at its relaxed geometry.

Values from the calculation:
Its raw formation energy is 195 meV per atom. The value obtained for the distance to the lowest polymorph of the same formula is 351.2 meV per atom. The final energy comes out at -9.6 eV/f.u.

Unit cell a=5.8379 b=5.8379 c=5.8379 alpha=60.00 beta=60.00 gamma=60.00
Last column: nearest neighbours and their distance in Å.
Fractional coordinates of all 4 atoms:
Bi 0.2500 0.2500 0.2500  4 Br 3.57, 4 Rb 3.57
Bi 0.7500 0.7500 0.7500  4 Rb 3.57, 4 Br 3.57
Rb 0.5000 0.5000 0.5000  8 Bi 3.57
Br 0.0000 0.0000 0.0000  8 Bi 3.57